1.
The following is a DFT calculation (GGA-PBE) of Ca3Er3CuS8 after structural relaxation.

Properties
Total DFT energy (no corrections) (eV per atom): -5.590
Density of states at the Fermi level (states/eV/f.u.): 6.17
ΔE_f (raw) (eV/atom): -1.80

The structure in POSCAR format:
```
Ca3Er3CuS8
1.0
-4.379 6.412 -0.689
0.468 -5.053 -5.912
-3.963 -2.005 6.534
Ca Er Cu S
3 3 1 8
direct
0.000 0.000 0.000
0.000 0.500 0.000
0.500 0.500 0.000
0.500 0.000 0.500
0.500 0.500 0.500
0.000 0.500 0.500
0.000 0.000 0.500
0.253 0.506 0.259
0.747 0.494 0.741
0.759 0.518 0.270
0.241 0.482 0.730
0.758 0.011 0.269
0.242 0.989 0.731
0.253 0.011 0.269
0.747 0.989 0.731
```

2.
The following is a DFT calculation (GGA-PBE) of DyErTm2In after structural relaxation.

Properties
Total DFT energy (no corrections) (eV per atom): -4.088
Density of states at the Fermi level (states/eV/f.u.): 6.26

The structure in POSCAR format:
```
DyErTm2In
1.0
-2.193 -0.365 -2.645
-0.699 -9.426 4.136
-6.863 2.834 5.299
Dy Er Tm In
2 2 4 2
direct
0.500 0.000 0.500
0.500 0.000 0.000
0.894 0.789 0.750
0.106 0.211 0.250
0.333 0.665 0.054
0.667 0.335 0.554
0.333 0.665 0.446
0.667 0.335 0.946
0.737 0.475 0.250
0.263 0.525 0.750
```

3.
The following is a DFT calculation (GGA-PBE) of NdMg2Ag after structural relaxation.

Properties
Total DFT energy (no corrections) (eV per atom): -2.900
Density of states at the Fermi level (states/eV/f.u.): 3.28

The structure in POSCAR format:
```
NdMg2Ag
1.0
-2.798 1.151 -4.128
-0.559 -3.436 -3.752
-4.532 -2.273 -0.734
Nd Mg Ag
1 2 1
direct
0.500 0.500 0.500
0.000 0.000 0.000
0.250 0.250 0.249
0.750 0.750 0.751
```